#1
Below is a geometry-optimized Pu2Ge2Ir structure, with properties calculated at the PBE level.

size of the total moment: 10.82 μB/cell
SG: Immm, No. 71

a b c (Å): 4.0638 5.6690 5.6690
angles (deg): 60.82 69.00 69.00
Each line ends with the local moment (μB).
Fractional positions:
Pu  0.7948  0.7052  0.7052  5.23
Ir  0.0000  0.0000  0.0000  -0.16
Ge  0.5000  0.2598  0.7402  -0.07
Pu  0.2052  0.2948  0.2948  5.23
Ge  0.5000  0.7402  0.2598  -0.07

---

#2
Below is a geometry-optimized Pu2Ge2Ir structure, with properties calculated at the PBE level.

size of the total moment: 0.19 μB/cell
SG: C2/m, No. 12

a b c (Å): 4.2829 5.7030 9.5857
angles (deg): 92.67 77.09 67.95
Each line ends with the local moment (μB).
Fractional positions:
Pu  0.3316  0.6730  0.6638  -5.11
Ge  0.8975  0.7605  0.4445  0.02
Ir  0.3998  0.8766  0.3237  -0.02
Ge  0.1025  0.2395  0.5555  0.02
Pu  0.9133  0.2795  0.8940  5.18
Pu  0.6684  0.3270  0.3362  -5.11
Ir  0.6002  0.1234  0.6763  -0.02
Pu  0.0867  0.7205  0.1060  5.18
Ge  0.3637  0.1525  0.1202  -0.04
Ge  0.6363  0.8475  0.8798  -0.04

---

The structure with the greatest stability is #2.

---

#1
Below is a geometry-optimized Pu3Ge3Ir structure, with properties calculated at the PBE level.

size of the total moment: 13.28 μB/cell
SG: P6_3/mmc, No. 194

a b c (Å): 4.2354 9.0334 9.0334
angles (deg): 120.00 90.00 90.00
Each line ends with the local moment (μB).
Fractional positions:
Ge  0.7500  0.6667  0.8334  -0.02
Ge  0.7500  0.1667  0.3333  -0.02
Pu  0.2500  0.4618  0.9235  2.21
Pu  0.7500  0.5383  0.4618  2.21
Ge  0.2500  0.8334  0.1667  -0.02
Pu  0.2500  0.4617  0.5382  2.21
Pu  0.7500  0.9235  0.4617  2.21
Ir  0.2500  0.6667  0.3333  0.04
Ge  0.2500  0.3333  0.1666  -0.02
Ge  0.2500  0.8333  0.6667  -0.02
Pu  0.7500  0.5382  0.0765  2.21
Ir  0.7500  0.3333  0.6667  0.04
Pu  0.2500  0.0765  0.5383  2.21
Ge  0.7500  0.1666  0.8333  -0.02

---

#2
Below is a geometry-optimized Pu3Ge3Ir structure, with properties calculated at the PBE level.

size of the total moment: 11.10 μB/cell
SG: C2/m, No. 12

a b c (Å): 4.3566 5.7081 13.3811
angles (deg): 78.17 80.63 67.57
Each line ends with the local moment (μB).
Fractional positions:
Pu  0.2508  0.2754  0.2230  -5.06
Ge  0.1205  0.8220  0.9370  -0.01
Ir  0.2530  0.8721  0.6218  0.01
Ge  0.8795  0.1780  0.0630  -0.01
Pu  0.5900  0.7275  0.0926  5.22
Pu  0.4711  0.6737  0.3840  5.10
Ge  0.8503  0.7599  0.5395  -0.02
Ge  0.0437  0.1475  0.7650  -0.01
Pu  0.5289  0.3263  0.6160  5.10
Ge  0.9563  0.8525  0.2350  -0.01
Ir  0.7470  0.1279  0.3782  0.01
Pu  0.4100  0.2725  0.9074  5.22
Ge  0.1497  0.2401  0.4605  -0.02
Pu  0.7492  0.7246  0.7770  -5.06

---

The structure with the greatest stability is #2.

---

#1
Below is a geometry-optimized Pu2Ge5Ir3 structure, with properties calculated at the PBE level.

size of the total moment: 20.57 μB/cell
SG: Ibam, No. 72

a b c (Å): 6.0167 8.4354 8.4354
angles (deg): 75.34 69.11 69.11
Each line ends with the local moment (μB).
Fractional positions:
Ir  0.3572  0.5328  0.7528  -0.09
Ge  0.4031  0.2597  0.9342  -0.02
Pu  0.1355  0.5921  0.1369  5.12
Ir  0.7500  0.0000  0.0000  -0.02
Ge  0.2500  0.5000  0.5000  -0.02
Ge  0.7500  0.5000  0.5000  -0.02
Pu  0.8645  0.4079  0.8631  5.12
Ge  0.9718  0.7782  0.7782  -0.02
Ir  0.2500  0.0000  0.0000  -0.02
Ge  0.9031  0.9342  0.2597  -0.02
Pu  0.3645  0.8631  0.4079  5.12
Ir  0.6428  0.4672  0.2472  -0.09
Ge  0.5969  0.7403  0.0658  -0.02
Ge  0.0282  0.2218  0.2218  -0.02
Ir  0.1428  0.2472  0.4672  -0.09
Ge  0.4718  0.7782  0.7782  -0.02
Ge  0.5282  0.2218  0.2218  -0.02
Pu  0.6355  0.1369  0.5921  5.12
Ge  0.0969  0.0658  0.7403  -0.02
Ir  0.8572  0.7528  0.5328  -0.09

---

#2
Below is a geometry-optimized Pu2Ge5Ir3 structure, with properties calculated at the PBE level.

size of the total moment: 19.32 μB/cell
SG: Cmc2_1, No. 36

a b c (Å): 4.2743 6.8190 12.5989
angles (deg): 90.00 99.77 90.00
Each line ends with the local moment (μB).
Fractional positions:
Ge  0.2924  0.9365  0.5849  -0.01
Ir  0.7786  0.7238  0.5571  -0.08
Ge  0.2913  0.5130  0.5827  -0.02
Ge  0.0494  0.5844  0.0988  -0.04
Ir  0.2214  0.2238  0.4429  -0.08
Pu  0.8258  0.2311  0.6516  5.07
Pu  0.5197  0.2488  0.0395  4.86
Ge  0.6010  0.8859  0.2020  -0.01
Ge  0.8801  0.7647  0.7602  -0.03
Ge  0.1199  0.2647  0.2398  -0.03
Ir  0.0538  0.9687  0.1076  -0.17
Ge  0.9506  0.0844  0.9012  -0.04
Ir  0.3939  0.0080  0.7879  -0.16
Ir  0.9462  0.4687  0.8924  -0.17
Ge  0.7087  0.0130  0.4173  -0.02
Pu  0.1742  0.7311  0.3484  5.07
Ge  0.3990  0.3859  0.7980  -0.01
Ir  0.6061  0.5080  0.2121  -0.16
Ge  0.7076  0.4365  0.4151  -0.01
Pu  0.4803  0.7488  0.9605  4.86

---

The structure with the greatest stability is #1.

---

#1
Below is a geometry-optimized RbGeIr3 structure, with properties calculated at the PBE level.

size of the total moment: 1.57 μB/cell
SG: Pm-3m, No. 221

a b c (Å): 4.8978 4.8978 4.8978
angles (deg): 90.00 90.00 90.00
Each line ends with the local moment (μB).
Fractional positions:
Ir  0.5000  0.0000  0.0000  0.53
Ir  0.0000  0.0000  0.5000  0.48
Ir  0.0000  0.5000  0.0000  0.66
Ge  0.5000  0.5000  0.5000  -0.03
Rb  0.0000  0.0000  0.0000  -0.01

---

#2
Below is a geometry-optimized RbGeIr3 structure, with properties calculated at the PBE level.

size of the total moment: 0.00 μB/cell
SG: Pm-3m, No. 221

a b c (Å): 4.7404 4.7404 4.7404
angles (deg): 90.00 90.00 90.00
Fractional positions:
Rb  0.5000  0.5000  0.5000
Ir  0.0000  0.5000  0.0000
Ir  0.0000  0.0000  0.5000
Ir  0.5000  0.0000  0.0000
Ge  0.0000  0.0000  0.0000

---

The structure with the greatest stability is #2.